Entry 1:
## Ge3BiOs (PBE)

Data for an optimized crystal structure of Ge3BiOs.

Properties
Mass density: 8.9 g/cm3
DOS(E_F): 3.44 states/eV per cell
Space group: Pm-3m

Unit cell a=4.8728 b=4.8728 c=4.8728 alpha=90.00 beta=90.00 gamma=90.00
Element x y z (fractional)
Ge 0.0000 0.5000 0.0000
Ge 0.5000 0.0000 0.0000
Ge 0.0000 0.0000 0.5000
Bi 0.5000 0.5000 0.5000
Os 0.0000 0.0000 0.0000

Entry 2:
## ReGeBiOs2 (PBE)

Data for an optimized crystal structure of ReGeBiOs2.

Properties
Mass density: 13.2 g/cm3
DOS(E_F): 1.88 states/eV per cell
Space group: P4/mmm

Unit cell a=4.5360 b=5.1678 c=4.5360 alpha=90.00 beta=90.00 gamma=90.00
Each line ends with the local moment (μB).
Element x y z (fractional)
Bi 0.0000 0.5000 0.0000  -0.07
Re 0.5000 0.5000 0.5000  2.24
Os 0.0000 0.0000 0.5000  -0.28
Os 0.5000 0.0000 0.0000  -0.26
Ge 0.0000 0.0000 0.0000  0.02

Entry 3:
## V2GeBiOs (PBE)

Data for an optimized crystal structure of V2GeBiOs.

Properties
Mass density: 8.6 g/cm3
DOS(E_F): 4.56 states/eV per cell
Space group: P4/mmm

Unit cell a=4.8427 b=4.6988 c=4.8427 alpha=90.00 beta=90.00 gamma=90.00
Each line ends with the local moment (μB).
Element x y z (fractional)
Os 0.0000 0.0000 0.0000  -0.37
V 0.5000 0.0000 0.0000  2.32
V 0.0000 0.0000 0.5000  1.83
Ge 0.0000 0.5000 0.0000  -0.03
Bi 0.5000 0.5000 0.5000  -0.22

Entry 4:
## YGe2BiOs (PBE)

Data for an optimized crystal structure of YGe2BiOs.

Properties
Mass density: 8.3 g/cm3
DOS(E_F): 0.97 states/eV per cell
Space group: P4/mmm

Unit cell a=4.7712 b=5.5554 c=4.7712 alpha=90.00 beta=90.00 gamma=90.00
Element x y z (fractional)
Y 0.0000 0.5000 0.0000
Ge 0.0000 0.0000 0.5000
Ge 0.5000 0.0000 0.0000
Bi 0.5000 0.5000 0.5000
Os 0.0000 0.0000 0.0000

Entry 5:
## ZrGe2BiOs (PBE)

Data for an optimized crystal structure of ZrGe2BiOs.

Properties
Mass density: 8.3 g/cm3
DOS(E_F): 3.42 states/eV per cell
Space group: P4/mmm

Unit cell a=4.6433 b=5.9073 c=4.6433 alpha=90.00 beta=90.00 gamma=90.00
Element x y z (fractional)
Zr 0.5000 0.5000 0.5000
Ge 0.0000 0.0000 0.5000
Ge 0.5000 0.0000 0.0000
Os 0.0000 0.0000 0.0000
Bi 0.0000 0.5000 0.0000

Entry 6:
## Ge3BiP (PBE)

Data for an optimized crystal structure of Ge3BiP.

Properties
Mass density: 6.4 g/cm3
DOS(E_F): 2.06 states/eV per cell
Space group: Pm-3m

Unit cell a=4.9072 b=4.9072 c=4.9072 alpha=90.00 beta=90.00 gamma=90.00
Element x y z (fractional)
Ge 0.0000 0.5000 0.0000
Ge 0.0000 0.0000 0.5000
Ge 0.5000 0.0000 0.0000
Bi 0.5000 0.5000 0.5000
P 0.0000 0.0000 0.0000

Entry 7:
## Ge2BiP (PBE)

Data for an optimized crystal structure of Ge2BiP.

Properties
Mass density: 7.5 g/cm3
DOS(E_F): 2.42 states/eV per cell
Space group: Fm-3m

Unit cell a=4.9458 b=4.9458 c=4.9458 alpha=60.00 beta=60.00 gamma=60.00
Element x y z (fractional)
Ge 0.7500 0.7500 0.7500
Ge 0.2500 0.2500 0.2500
Bi 0.5000 0.5000 0.5000
P 0.0000 0.0000 0.0000

Entry 8:
## Ge2BiP2 (PBE)

Data for an optimized crystal structure of Ge2BiP2.

Properties
Mass density: 6.4 g/cm3
DOS(E_F): 1.82 states/eV per cell
Space group: I4/mmm

Unit cell a=3.5877 b=3.5877 c=8.7336 alpha=78.15 beta=78.15 gamma=90.00
Element x y z (fractional)
P 0.2500 0.7500 0.5000
P 0.7500 0.2500 0.5000
Bi 0.0000 0.0000 0.0000
Ge 0.3751 0.3751 0.2498
Ge 0.6249 0.6249 0.7502

Entry 9:
## GeBi2P2 (PBE)

Data for an optimized crystal structure of GeBi2P2.

Properties
Mass density: 7.7 g/cm3
DOS(E_F): 6.11 states/eV per cell
Space group: P4/mbm

Unit cell a=7.7632 b=7.7632 c=3.9326 alpha=90.00 beta=90.00 gamma=90.00
Element x y z (fractional)
Bi 0.3416 0.1584 0.5000
Bi 0.8416 0.3416 0.5000
Bi 0.6584 0.8416 0.5000
Bi 0.1584 0.6584 0.5000
P 0.6655 0.1655 0.0000
P 0.1655 0.3345 0.0000
P 0.3345 0.8345 0.0000
P 0.8345 0.6655 0.0000
Ge 0.5000 0.5000 0.0000
Ge 0.0000 0.0000 0.0000

Entry 10:
## Ge2BiP (PBE)

Data for an optimized crystal structure of Ge2BiP.

Properties
Mass density: 6.3 g/cm3
DOS(E_F): 2.06 states/eV per cell
Space group: I-42d

Unit cell a=6.8574 b=6.8574 c=6.4770 alpha=58.04 beta=58.04 gamma=90.00
Element x y z (fractional)
Ge 0.5656 0.1250 0.2500
Ge 0.8750 0.8156 0.7500
Ge 0.1844 0.6250 0.2500
Ge 0.3750 0.4344 0.7500
P 0.5000 0.5000 0.0000
P 0.2500 0.7500 0.5000
Bi 0.7500 0.2500 0.5000
Bi 0.0000 0.0000 0.0000

Entry 11:
## GeBi2P2 (PBE)

Data for an optimized crystal structure of GeBi2P2.

Properties
Mass density: 7.9 g/cm3
DOS(E_F): 2.94 states/eV per cell
Space group: I4/mmm

Unit cell a=3.4327 b=3.4327 c=10.1245 alpha=80.24 beta=80.24 gamma=90.00
Element x y z (fractional)
P 0.2500 0.7500 0.5000
P 0.7500 0.2500 0.5000
Bi 0.3942 0.3942 0.2116
Bi 0.6058 0.6058 0.7884
Ge 0.0000 0.0000 0.0000

Entry 12:
## Ge3BiP (PBE)

Data for an optimized crystal structure of Ge3BiP.

Properties
Mass density: 4.6 g/cm3
DOS(E_F): 2.64 states/eV per cell
Space group: Pm-3m

Unit cell a=5.4828 b=5.4828 c=5.4828 alpha=90.00 beta=90.00 gamma=90.00
Element x y z (fractional)
P 0.5000 0.5000 0.5000
Ge 0.0000 0.0000 0.5000
Ge 0.5000 0.0000 0.0000
Ge 0.0000 0.5000 0.0000
Bi 0.0000 0.0000 0.0000

no.,formation energy from the elements (eV/atom)
1,0.3503
2,2.1539
3,0.6707
4,-0.1020
5,0.6138
6,0.4532
7,0.4975
8,0.3650
9,0.3494
10,0.2537
11,0.3246
12,1.4027